Material: Mg3Tl2In8
Method: DFT, PBE-GGA
State: relaxed

Values from the calculation:
Total energy in eV per atom: -2.3767
Symmetry: No. 10

Cell lengths 8.884, 4.686, 9.580 Å; angles 90.00, 113.47, 90.00 degrees
Fractional coordinates of all 13 atoms:
Mg 0.000 0.000 0.000
Mg 0.054 0.500 0.800
Mg 0.946 0.500 0.200
Tl 0.475 0.000 0.676
Tl 0.525 0.000 0.324
In 0.175 0.000 0.347
In 0.195 0.500 0.567
In 0.271 0.500 0.143
In 0.310 0.000 0.915
In 0.690 0.000 0.085
In 0.729 0.500 0.857
In 0.805 0.500 0.433
In 0.825 0.000 0.653



Material: MgTl2In4
Method: DFT, PBE-GGA
State: relaxed

Values from the calculation:
Energy above the lowest structure with this stoichiometry in eV per atom: 0.027
Total energy in eV per atom: -2.4355
Symmetry: No. 65

Cell lengths 11.246, 11.246, 3.257 Å; angles 90.00, 90.00, 151.43 degrees
Fractional coordinates of all 7 atoms:
Mg 0.000 0.000 0.000
Tl 0.291 0.709 0.500
Tl 0.709 0.291 0.500
In 0.126 0.874 0.500
In 0.428 0.572 0.000
In 0.572 0.428 0.000
In 0.874 0.126 0.500



Material: Mg3Tl3In2
Method: DFT, PBE-GGA
State: relaxed

Values from the calculation:
Energy above the lowest structure with this stoichiometry in eV per atom: 0.037
Total energy in eV per atom: -2.1453
Symmetry: No. 63

Cell lengths 7.187, 7.187, 13.881 Å; angles 90.00, 90.00, 142.85 degrees
Fractional coordinates of all 16 atoms:
Mg 0.086 0.914 0.571
Mg 0.086 0.914 0.929
Mg 0.102 0.898 0.250
Mg 0.898 0.102 0.750
Mg 0.914 0.086 0.071
Mg 0.914 0.086 0.429
Tl 0.211 0.789 0.750
Tl 0.433 0.567 0.604
Tl 0.433 0.567 0.896
Tl 0.567 0.433 0.104
Tl 0.567 0.433 0.396
Tl 0.789 0.211 0.250
In 0.261 0.739 0.080
In 0.261 0.739 0.420
In 0.739 0.261 0.580
In 0.739 0.261 0.920



Respective energy relative to the elements values: 0.0406; 0.0332; 0.0246 eV per atom.